Entry 1:
Computed, not measured: an optimized crystal structure of Sc2InAsRh at the GGA-PBEsol level of DFT.

Lattice parameters (Å, degrees): 4.9228 4.9228 4.5481 90.00 90.00 90.00
Last column: nearest neighbours and their distance in Å.
Atoms (fractional coordinates):
Sc 0.0000 0.5000 0.0000  2 As 2.46
Sc 0.5000 0.0000 0.0000  2 As 2.46
In 0.0000 0.0000 0.5000  8 Sc 3.35, 4 Rh 3.48
As 0.5000 0.5000 0.0000  2 Rh 2.27, 4 Sc 2.46
Rh 0.5000 0.5000 0.5000  2 As 2.27

Entry 2:
Computed, not measured: an optimized crystal structure of NiRu2Pt at the GGA-PBEsol level of DFT.

relative energy among the computed polymorphs: 0.036 eV/atom

Lattice parameters (Å, degrees): 3.7239 3.7239 7.5334 90.00 90.00 90.00
Last column: nearest neighbours and their distance in Å.
Atoms (fractional coordinates):
Ni 0.0000 0.0000 0.0000  8 Ru 2.63-2.65, 4 Pt 2.65
Ni 0.5000 0.5000 0.5000  8 Ru 2.63-2.65, 4 Pt 2.65
Ru 0.0000 0.0000 0.5000  4 Ni 2.63, 4 Pt 2.65, 4 Ru 2.65
Ru 0.0000 0.5000 0.2500  4 Pt 2.63, 4 Ru 2.65, 4 Ni 2.65
Ru 0.5000 0.0000 0.7500  4 Pt 2.63, 4 Ni 2.65, 4 Ru 2.65
Ru 0.5000 0.5000 0.0000  4 Ni 2.63, 4 Ru 2.65, 4 Pt 2.65
Pt 0.0000 0.5000 0.7500  8 Ru 2.63-2.65, 4 Ni 2.65
Pt 0.5000 0.0000 0.2500  8 Ru 2.63-2.65, 4 Ni 2.65

Quick rundown of calculated formation energy, same order as above: -311, 48 meV/atom
Quick rundown of energy, same order as above: -6.199, -8.318 eV per atom